1.
{
  "formula": "TcSb",
  "functional": "GGA-PBEsol",
  "state": "relaxed",
  "vol_a3_per_cell": 68.83,
  "e_tot_ev_per_atom": -7.7850,
  "de_polymorph_ev_per_atom": 0.0749,
  "spacegroup": "No. 12",
  "raw_formation_energy_ev_per_fu": 0.25,
  "lattice": [[-3.200, -0.384, -0.197], [0.402, -4.318, 1.888], [1.019, 3.199, 3.677]],
  "species": ["Tc", "Tc", "Sb", "Sb"],
  "fractional_positions": [[0.374, 0.197, 0.748], [0.626, 0.803, 0.252], [0.115, 0.312, 0.231], [0.885, 0.688, 0.769]]
}


2.
{
  "formula": "CrCuTc2",
  "functional": "GGA-PBEsol",
  "state": "relaxed",
  "vol_a3_per_cell": 51.39,
  "e_tot_ev_per_atom": -9.0620,
  "formation_enthalpy_0k_ev_per_atom": 0.2152,
  "de_polymorph_ev_per_atom": 0.0000,
  "spacegroup": "No. 65",
  "lattice": [[-2.049, -1.390, -0.583], [0.147, 0.117, 2.537], [-4.665, 6.895, -0.048]],
  "species": ["Tc", "Tc", "Cu", "Cr"],
  "fractional_positions": [[0.000, 0.000, 0.742], [0.000, 0.000, 0.258], [0.500, 0.500, 0.000], [0.500, 0.500, 0.500]]
}


3.
{
  "formula": "Cr2RuRh",
  "functional": "GGA-PBEsol",
  "state": "relaxed",
  "vol_a3_per_cell": 49.55,
  "e_tot_ev_per_atom": -9.6530,
  "formation_enthalpy_0k_ev_per_atom": 0.0457,
  "spacegroup": "No. 139",
  "lattice": [[3.712, 0.000, 0.000], [0.000, 3.712, 0.000], [-1.856, -1.856, 3.597]],
  "species": ["Ru", "Cr", "Cr", "Rh"],
  "fractional_positions": [[0.500, 0.500, 0.000], [0.750, 0.250, 0.500], [0.250, 0.750, 0.500], [0.000, 0.000, 0.000]]
}


4.
{
  "formula": "CrMoAs2",
  "functional": "GGA-PBEsol",
  "state": "relaxed",
  "vol_a3_per_cell": 60.10,
  "e_tot_ev_per_atom": -8.2393,
  "formation_enthalpy_0k_ev_per_atom": -0.1837,
  "de_polymorph_ev_per_atom": 0.0434,
  "spacegroup": "No. 44",
  "lattice": [[3.264, 0.000, 0.000], [0.000, 3.333, 0.000], [-1.632, -1.667, 5.523]],
  "species": ["As", "As", "Mo", "Cr"],
  "fractional_positions": [[0.034, 0.034, 0.068], [0.298, 0.798, 0.596], [0.707, 0.207, 0.414], [0.461, 0.461, 0.922]]
}


5.
{
  "formula": "SrMg2Pb",
  "functional": "GGA-PBEsol",
  "state": "relaxed",
  "vol_a3_per_cell": 117.63,
  "e_tot_ev_per_atom": -2.4687,
  "formation_enthalpy_0k_ev_per_atom": -0.1504,
  "spacegroup": "No. 10",
  "lattice": [[3.637, 0.000, 0.014], [0.000, 5.339, 0.000], [-0.607, 0.000, 6.055]],
  "species": ["Sr", "Mg", "Mg", "Pb"],
  "fractional_positions": [[0.000, 0.500, 0.500], [0.590, 0.000, 0.758], [0.410, 0.000, 0.242], [0.500, 0.500, 0.000]]
}


6.
{
  "formula": "LiRe2Se",
  "functional": "GGA-PBEsol",
  "state": "relaxed",
  "vol_a3_per_cell": 61.59,
  "e_tot_ev_per_atom": -7.6202,
  "spacegroup": "No. 12",
  "raw_formation_energy_ev_per_fu": 2.00,
  "lattice": [[2.674, -0.006, 0.000], [-0.135, 4.581, 0.000], [-1.269, -2.288, 5.027]],
  "species": ["Re", "Re", "Li", "Se"],
  "fractional_positions": [[0.000, 0.000, 0.500], [0.500, 0.500, 0.500], [0.500, 0.500, 0.000], [0.000, 0.000, 0.000]]
}


7.
{
  "formula": "SmThN2",
  "functional": "GGA-PBEsol",
  "state": "relaxed",
  "vol_a3_per_cell": 65.47,
  "e_tot_ev_per_atom": -9.2747,
  "spacegroup": "No. 166",
  "raw_formation_energy_ev_per_fu": -6.85,
  "lattice": [[3.601, 0.000, 0.000], [1.800, 3.118, 0.000], [1.800, 1.039, 5.831]],
  "species": ["N", "N", "Th", "Sm"],
  "fractional_positions": [[0.248, 0.248, 0.257], [0.752, 0.752, 0.743], [0.500, 0.500, 0.500], [0.000, 0.000, 0.000]]
}


8.
{
  "formula": "Ta2PAu",
  "functional": "GGA-PBEsol",
  "state": "relaxed",
  "vol_a3_per_cell": 63.00,
  "e_tot_ev_per_atom": -9.0732,
  "formation_enthalpy_0k_ev_per_atom": -0.3688,
  "spacegroup": "No. 123",
  "lattice": [[-2.054, 0.419, 2.155], [2.144, -0.253, 2.092], [1.096, 6.877, -0.291]],
  "species": ["Ta", "Ta", "Au", "P"],
  "fractional_positions": [[0.000, 0.000, 0.713], [0.000, 0.000, 0.287], [0.500, 0.500, 0.000], [0.500, 0.500, 0.500]]
}


9.
{
  "formula": "LiCuRh2",
  "functional": "GGA-PBEsol",
  "state": "relaxed",
  "vol_a3_per_cell": 51.26,
  "e_tot_ev_per_atom": -5.6365,
  "formation_enthalpy_0k_ev_per_atom": 0.0079,
  "spacegroup": "No. 166",
  "lattice": [[-2.161, 1.245, 0.796], [-2.301, -1.249, 0.012], [-0.020, -2.628, 8.364]],
  "species": ["Cu", "Rh", "Rh", "Li"],
  "fractional_positions": [[0.000, 0.000, 0.000], [0.251, 0.251, 0.247], [0.749, 0.749, 0.753], [0.500, 0.500, 0.500]]
}


10.
{
  "formula": "Cd2CoHg",
  "functional": "GGA-PBEsol",
  "state": "relaxed",
  "vol_a3_per_cell": 71.17,
  "e_tot_ev_per_atom": -2.3945,
  "formation_enthalpy_0k_ev_per_atom": 0.2800,
  "spacegroup": "No. 6",
  "lattice": [[2.938, 0.000, -0.064], [0.000, 4.335, 0.000], [-1.393, 0.000, 5.619]],
  "species": ["Co", "Cd", "Cd", "Hg"],
  "fractional_positions": [[0.301, 0.000, 0.474], [0.059, 0.000, 0.988], [0.706, 0.500, 0.292], [0.435, 0.500, 0.747]]
}


11.
{
  "formula": "KBa2Tl2",
  "functional": "GGA-PBEsol",
  "state": "relaxed",
  "vol_a3_per_cell": 406.00,
  "e_tot_ev_per_atom": -2.4080,
  "formation_enthalpy_0k_ev_per_atom": -0.2697,
  "spacegroup": "No. 127",
  "lattice": [[4.123, 0.000, 0.000], [0.000, 9.923, 0.000], [0.000, 0.000, 9.923]],
  "species": ["Ba", "Ba", "Ba", "Ba", "K", "K", "Tl", "Tl", "Tl", "Tl"],
  "fractional_positions": [[0.500, 0.333, 0.167], [0.500, 0.667, 0.833], [0.500, 0.833, 0.333], [0.500, 0.167, 0.667], [0.000, 0.000, 0.000], [0.000, 0.500, 0.500], [0.000, 0.875, 0.625], [0.000, 0.625, 0.125], [0.000, 0.125, 0.375], [0.000, 0.375, 0.875]]
}


12.
{
  "formula": "ZnCu2Ni",
  "functional": "GGA-PBEsol",
  "state": "relaxed",
  "vol_a3_per_cell": 45.75,
  "e_tot_ev_per_atom": -4.1910,
  "formation_enthalpy_0k_ev_per_atom": -0.0891,
  "spacegroup": "No. 99",
  "lattice": [[2.596, 0.047, 0.000], [-0.048, 2.596, 0.000], [0.000, 0.000, 6.784]],
  "species": ["Zn", "Cu", "Cu", "Ni"],
  "fractional_positions": [[0.500, 0.500, 0.258], [0.500, 0.500, 0.744], [0.000, 0.000, 0.994], [0.000, 0.000, 0.503]]
}


13.
{
  "formula": "Co2MoP",
  "functional": "GGA-PBEsol",
  "state": "relaxed",
  "vol_a3_per_cell": 45.66,
  "e_tot_ev_per_atom": -8.5395,
  "formation_enthalpy_0k_ev_per_atom": -0.2812,
  "spacegroup": "No. 71",
  "lattice": [[2.835, 0.000, 0.000], [0.000, 4.022, 0.000], [-1.417, -2.011, 4.005]],
  "species": ["Co", "Co", "Mo", "P"],
  "fractional_positions": [[0.721, 0.721, 0.442], [0.279, 0.279, 0.558], [0.500, 0.000, 0.000], [0.000, 0.500, 0.000]]
}


14.
{
  "formula": "CuSbSe2",
  "functional": "GGA-PBEsol",
  "state": "relaxed",
  "vol_a3_per_cell": 89.61,
  "e_tot_ev_per_atom": -4.2528,
  "spacegroup": "No. 160",
  "raw_formation_energy_ev_per_fu": -0.42,
  "lattice": [[3.912, 0.000, 0.000], [1.956, 3.388, 0.000], [1.956, 1.129, 6.761]],
  "species": ["Se", "Se", "Cu", "Sb"],
  "fractional_positions": [[0.989, 0.989, 0.033], [0.787, 0.787, 0.638], [0.483, 0.483, 0.552], [0.241, 0.241, 0.277]]
}


15.
{
  "formula": "TlCoAg",
  "functional": "GGA-PBEsol",
  "state": "relaxed",
  "vol_a3_per_cell": 54.65,
  "e_tot_ev_per_atom": -3.9860,
  "formation_enthalpy_0k_ev_per_atom": 0.5734,
  "spacegroup": "No. 216",
  "lattice": [[-1.071, -1.483, -3.847], [-3.763, -1.913, -0.573], [-3.051, 1.936, -2.255]],
  "species": ["Co", "Ag", "Tl"],
  "fractional_positions": [[0.250, 0.250, 0.250], [0.500, 0.500, 0.500], [0.000, 0.000, 0.000]]
}


16.
{
  "formula": "BeRuPt2",
  "functional": "GGA-PBEsol",
  "state": "relaxed",
  "vol_a3_per_cell": 53.00,
  "e_tot_ev_per_atom": -7.1949,
  "formation_enthalpy_0k_ev_per_atom": -0.1700,
  "spacegroup": "No. 65",
  "lattice": [[2.696, 0.000, 0.000], [0.000, 4.557, 0.012], [0.000, -1.476, 4.311]],
  "species": ["Pt", "Pt", "Be", "Ru"],
  "fractional_positions": [[0.000, 0.000, 0.500], [0.000, 0.500, 0.000], [0.500, 0.500, 0.500], [0.500, 0.000, 0.000]]
}


17.
{
  "formula": "ZrBeTeI2",
  "functional": "GGA-PBEsol",
  "state": "relaxed",
  "vol_a3_per_cell": 177.49,
  "e_tot_ev_per_atom": -3.7967,
  "spacegroup": "No. 123",
  "raw_formation_energy_ev_per_fu": 1.17,
  "lattice": [[5.516, 0.000, 0.000], [0.000, 5.673, 0.000], [0.000, 0.000, 5.673]],
  "species": ["I", "I", "Te", "Zr", "Be"],
  "fractional_positions": [[0.000, 0.000, 0.500], [0.000, 0.500, 0.000], [0.500, 0.000, 0.000], [0.000, 0.000, 0.000], [0.500, 0.500, 0.500]]
}


18.
{
  "formula": "MgAg2Au",
  "functional": "GGA-PBEsol",
  "state": "relaxed",
  "vol_a3_per_cell": 67.49,
  "e_tot_ev_per_atom": -3.3457,
  "formation_enthalpy_0k_ev_per_atom": -0.2798,
  "spacegroup": "No. 123",
  "lattice": [[4.012, 0.000, 0.000], [0.000, 4.012, 0.000], [0.000, 0.000, 4.194]],
  "species": ["Mg", "Ag", "Ag", "Au"],
  "fractional_positions": [[0.000, 0.000, 0.500], [0.000, 0.500, 0.000], [0.500, 0.000, 0.000], [0.500, 0.500, 0.500]]
}


19.
{
  "formula": "CrW",
  "functional": "GGA-PBEsol",
  "state": "relaxed",
  "vol_a3_per_cell": 81.47,
  "e_tot_ev_per_atom": -11.9172,
  "formation_enthalpy_0k_ev_per_atom": 0.1076,
  "spacegroup": "No. 12",
  "lattice": [[3.016, 0.000, 0.000], [-1.508, 4.746, -0.010], [0.000, -1.925, 5.696]],
  "species": ["W", "W", "W", "Cr", "Cr", "Cr"],
  "fractional_positions": [[0.500, 0.000, 0.000], [0.166, 0.332, 0.818], [0.834, 0.668, 0.182], [0.832, 0.664, 0.659], [0.500, 0.000, 0.500], [0.168, 0.336, 0.341]]
}


20.
{
  "formula": "Cl",
  "functional": "GGA-PBEsol",
  "state": "relaxed",
  "vol_a3_per_cell": 118.92,
  "e_tot_ev_per_atom": -1.9606,
  "de_polymorph_ev_per_atom": 0.0473,
  "spacegroup": "No. 194",
  "raw_formation_energy_ev_per_fu": 0.05,
  "lattice": [[3.951, 0.000, 0.000], [-1.975, 3.421, 0.000], [0.000, 0.000, 8.798]],
  "species": ["Cl", "Cl", "Cl", "Cl"],
  "fractional_positions": [[0.667, 0.333, 0.637], [0.333, 0.667, 0.363], [0.333, 0.667, 0.137], [0.667, 0.333, 0.863]]
}